Entry 1:
First-principles (PBE) data for an optimized crystal structure of GaAgSn, as listed in the Alexandria database.

Computed properties:
Its total magnetic moment is 0.000 μB per atom. The energy comes out at -3.247 eV/atom.

Structure (CIF):
```
data_GaAgSn
_space_group_name_H-M_alt 'P 1'
_space_group_IT_number 1
_space_group_name_Hall 'P 1'
_cell_length_a 3.083
_cell_length_b 6.348
_cell_length_c 7.090
_cell_angle_alpha 106.75
_cell_angle_beta 101.94
_cell_angle_gamma 90.06
loop_
_atom_site_label
_atom_site_type_symbol
_atom_site_fract_x
_atom_site_fract_y
_atom_site_fract_z
Ga1 Ga 0.000 0.000 0.000
Ga2 Ga 0.374 0.664 0.744
Ag1 Ag 0.583 0.736 0.178
Ag2 Ag 0.937 0.371 0.878
Sn1 Sn 0.150 0.410 0.327
Sn2 Sn 0.276 0.022 0.554
```

=====

Entry 2:
First-principles (PBE) data for an optimized crystal structure of TmTiBe2, as listed in the Alexandria database.

Computed properties:
Its total magnetic moment is 0.000 μB per atom. The energy comes out at -4.959 eV/atom.

Structure (CIF):
```
data_TmTiBe2
_space_group_name_H-M_alt 'P 4/m m m'
_space_group_IT_number 123
_space_group_name_Hall '-P 4 2'
_cell_length_a 3.148
_cell_length_b 3.148
_cell_length_c 6.240
_cell_angle_alpha 90.00
_cell_angle_beta 90.00
_cell_angle_gamma 90.00
loop_
_atom_site_label
_atom_site_type_symbol
_atom_site_fract_x
_atom_site_fract_y
_atom_site_fract_z
Tm1 Tm 0.000 0.000 0.000
Ti1 Ti 0.000 0.000 0.500
Be1 Be 0.500 0.500 0.302
```

=====

Entry 3:
First-principles (PBE) data for an optimized crystal structure of Pm3TmSn12, as listed in the Alexandria database.

Computed properties:
Its total magnetic moment is 0.000 μB per atom. The energy comes out at -4.636 eV/atom.

Structure (CIF):
```
data_Pm3TmSn12
_space_group_name_H-M_alt 'P 4/m m m'
_space_group_IT_number 123
_space_group_name_Hall '-P 4 2'
_cell_length_a 4.764
_cell_length_b 4.764
_cell_length_c 18.787
_cell_angle_alpha 90.00
_cell_angle_beta 90.00
_cell_angle_gamma 90.00
loop_
_atom_site_label
_atom_site_type_symbol
_atom_site_fract_x
_atom_site_fract_y
_atom_site_fract_z
Pm1 Pm 0.000 0.000 0.000
Pm2 Pm 0.000 0.000 0.251
Tm1 Tm 0.000 0.000 0.500
Sn1 Sn 0.000 0.500 0.126
Sn2 Sn 0.000 0.500 0.379
Sn3 Sn 0.500 0.500 0.000
Sn4 Sn 0.500 0.500 0.253
Sn5 Sn 0.500 0.500 0.500
```

=====

Entry 4:
First-principles (PBE) data for an optimized crystal structure of YCuC, as listed in the Alexandria database.

Computed properties:
Its total magnetic moment is 0.363 μB per atom. The energy comes out at -4.680 eV/atom.

Structure (CIF):
```
data_YCuC
_space_group_name_H-M_alt 'P 63/m m c'
_space_group_IT_number 194
_space_group_name_Hall '-P 6c 2c'
_cell_length_a 4.9411
_cell_length_b 4.9411
_cell_length_c 8.7641
_cell_angle_alpha 90.00
_cell_angle_beta 90.00
_cell_angle_gamma 120.00
loop_
_atom_site_label
_atom_site_type_symbol
_atom_site_fract_x
_atom_site_fract_y
_atom_site_fract_z
Y1 Y 0.0000 0.0000 0.2500
Cu1 Cu 0.3333 0.6667 0.2500
C1 C 0.0000 0.0000 0.0000
```

=====

Entry 5:
First-principles (PBE) data for an optimized crystal structure of SiMoAs, as listed in the Alexandria database.

Computed properties:
Its total magnetic moment is 0.000 μB per atom. For the energy relative to the elements, uncorrected, the calculation gives -0.148 eV/atom. For the energy above the most stable polymorph in this dataset, the calculation gives 0.38 eV per formula unit.

Structure (CIF):
```
data_SiMoAs
_space_group_name_H-M_alt 'I 4 m m'
_space_group_IT_number 107
_space_group_name_Hall 'I 4 -2'
_cell_length_a 3.284
_cell_length_b 3.284
_cell_length_c 8.288
_cell_angle_alpha 90.00
_cell_angle_beta 90.00
_cell_angle_gamma 90.00
loop_
_atom_site_label
_atom_site_type_symbol
_atom_site_fract_x
_atom_site_fract_y
_atom_site_fract_z
Si1 Si 0.000 0.000 0.000
Mo1 Mo 0.000 0.000 0.656
As1 As 0.000 0.000 0.328
```

=====

Entry 6:
First-principles (PBE) data for an optimized crystal structure of YScAu2, as listed in the Alexandria database.

Computed properties:
Its total magnetic moment is 0.000 μB per atom. For the energy above the most stable polymorph in this dataset, the calculation gives 4.15 eV per formula unit.

Structure (CIF):
```
data_YScAu2
_space_group_name_H-M_alt 'I m m m'
_space_group_IT_number 71
_space_group_name_Hall '-I 2 2'
_cell_length_a 3.108
_cell_length_b 5.343
_cell_length_c 11.321
_cell_angle_alpha 90.00
_cell_angle_beta 90.00
_cell_angle_gamma 90.00
loop_
_atom_site_label
_atom_site_type_symbol
_atom_site_fract_x
_atom_site_fract_y
_atom_site_fract_z
Y1 Y 0.000 0.000 0.000
Sc1 Sc 0.000 0.000 0.500
Au1 Au 0.000 0.000 0.261
```

=====

Entry 7:
First-principles (PBE) data for an optimized crystal structure of La2PrN, as listed in the Alexandria database.

Computed properties:
Its total magnetic moment is 0.000 μB per atom. For the energy relative to the elements, uncorrected, the calculation gives -0.643 eV/atom. For the energy above the most stable polymorph in this dataset, the calculation gives 0.00 eV per formula unit.

Structure (CIF):
```
data_La2PrN
_space_group_name_H-M_alt 'C 1 2 1'
_space_group_IT_number 5
_space_group_name_Hall 'C 2y'
_cell_length_a 6.382
_cell_length_b 3.686
_cell_length_c 9.784
_cell_angle_alpha 90.00
_cell_angle_beta 90.05
_cell_angle_gamma 90.00
loop_
_atom_site_label
_atom_site_type_symbol
_atom_site_fract_x
_atom_site_fract_y
_atom_site_fract_z
La1 La 0.166 0.000 0.354
Pr1 Pr 0.000 0.501 0.000
N1 N 0.000 0.500 0.500
```

=====

Entry 8:
First-principles (PBE) data for an optimized crystal structure of Np3InPd12, as listed in the Alexandria database.

Computed properties:
Its total magnetic moment is 0.614 μB per atom. The energy comes out at -6.941 eV/atom.

Structure (CIF):
```
data_Np3InPd12
_space_group_name_H-M_alt 'P 4/m m m'
_space_group_IT_number 123
_space_group_name_Hall '-P 4 2'
_cell_length_a 4.124
_cell_length_b 4.124
_cell_length_c 16.413
_cell_angle_alpha 90.00
_cell_angle_beta 90.00
_cell_angle_gamma 90.00
loop_
_atom_site_label
_atom_site_type_symbol
_atom_site_fract_x
_atom_site_fract_y
_atom_site_fract_z
Np1 Np 0.000 0.000 0.000
Np2 Np 0.000 0.000 0.255
In1 In 0.000 0.000 0.500
Pd1 Pd 0.000 0.500 0.127
Pd2 Pd 0.000 0.500 0.377
Pd3 Pd 0.500 0.500 0.000
Pd4 Pd 0.500 0.500 0.252
Pd5 Pd 0.500 0.500 0.500
```

=====

Entry 9:
First-principles (PBE) data for an optimized crystal structure of CdTeMo2, as listed in the Alexandria database.

Computed properties:
Its total magnetic moment is 0.000 μB per atom. For the energy relative to the elements, uncorrected, the calculation gives 0.568 eV/atom. For the energy above the most stable polymorph in this dataset, the calculation gives 1.30 eV per formula unit.

Structure (CIF):
```
data_CdTeMo2
_space_group_name_H-M_alt 'R -3 m'
_space_group_IT_number 166
_space_group_name_Hall '-R 3 2"'
_cell_length_a 3.1214
_cell_length_b 3.1214
_cell_length_c 26.7752
_cell_angle_alpha 90.00
_cell_angle_beta 90.00
_cell_angle_gamma 120.00
loop_
_atom_site_label
_atom_site_type_symbol
_atom_site_fract_x
_atom_site_fract_y
_atom_site_fract_z
Cd1 Cd 0.0000 0.0000 0.0000
Te1 Te 0.0000 0.0000 0.5000
Mo1 Mo 0.0000 0.0000 0.2448
```

=====

Entry 10:
First-principles (PBE) data for an optimized crystal structure of Tb2Pm3Tl2, as listed in the Alexandria database.

Computed properties:
Its total magnetic moment is 0.000 μB per atom. For the energy above the most stable polymorph in this dataset, the calculation gives 0.00 eV per formula unit.

Structure (CIF):
```
data_Tb2Pm3Tl2
_space_group_name_H-M_alt 'C 1 2/m 1'
_space_group_IT_number 12
_space_group_name_Hall '-C 2y'
_cell_length_a 9.522
_cell_length_b 5.507
_cell_length_c 8.762
_cell_angle_alpha 90.00
_cell_angle_beta 111.36
_cell_angle_gamma 90.00
loop_
_atom_site_label
_atom_site_type_symbol
_atom_site_fract_x
_atom_site_fract_y
_atom_site_fract_z
Tb1 Tb 0.075 0.000 0.225
Pm1 Pm 0.000 0.500 0.500
Pm2 Pm 0.156 0.500 0.967
Tl1 Tl 0.215 0.000 0.645
```

=====

Entry 11:
First-principles (PBE) data for an optimized crystal structure of MoRuS2N, as listed in the Alexandria database.

Computed properties:
Its total magnetic moment is 0.663 μB per atom. For the energy relative to the elements, uncorrected, the calculation gives 0.745 eV/atom. For the energy above the most stable polymorph in this dataset, the calculation gives 0.07 eV per formula unit.

Structure (CIF):
```
data_MoRuS2N
_space_group_name_H-M_alt 'P 4/m m m'
_space_group_IT_number 123
_space_group_name_Hall '-P 4 2'
_cell_length_a 4.797
_cell_length_b 4.797
_cell_length_c 3.771
_cell_angle_alpha 90.00
_cell_angle_beta 90.00
_cell_angle_gamma 90.00
loop_
_atom_site_label
_atom_site_type_symbol
_atom_site_fract_x
_atom_site_fract_y
_atom_site_fract_z
Mo1 Mo 0.000 0.000 0.000
Ru1 Ru 0.500 0.500 0.500
S1 S 0.000 0.500 0.000
N1 N 0.000 0.000 0.500
```

=====

Entry 12:
First-principles (PBE) data for an optimized crystal structure of ZnGeF3, as listed in the Alexandria database.

Computed properties:
Its total magnetic moment is 0.000 μB per atom. For the energy relative to the elements, uncorrected, the calculation gives -1.841 eV/atom. For the energy above the most stable polymorph in this dataset, the calculation gives 0.00 eV per formula unit.

Structure (CIF):
```
data_ZnGeF3
_space_group_name_H-M_alt 'C 1 2/m 1'
_space_group_IT_number 12
_space_group_name_Hall '-C 2y'
_cell_length_a 9.736
_cell_length_b 4.010
_cell_length_c 10.014
_cell_angle_alpha 90.00
_cell_angle_beta 117.60
_cell_angle_gamma 90.00
loop_
_atom_site_label
_atom_site_type_symbol
_atom_site_fract_x
_atom_site_fract_y
_atom_site_fract_z
Zn1 Zn 0.099 0.000 0.469
Ge1 Ge 0.236 0.000 0.143
F1 F 0.051 0.500 0.756
F2 F 0.240 0.000 0.922
F3 F 0.240 0.500 0.591
```

=====

Entry 13:
First-principles (PBE) data for an optimized crystal structure of BiTeS2, as listed in the Alexandria database.

Computed properties:
Its total magnetic moment is 0.000 μB per atom. For the energy relative to the elements, uncorrected, the calculation gives -0.049 eV/atom. For the energy above the most stable polymorph in this dataset, the calculation gives 0.25 eV per formula unit.

Structure (CIF):
```
data_BiTeS2
_space_group_name_H-M_alt 'R -3 m'
_space_group_IT_number 166
_space_group_name_Hall '-R 3 2"'
_cell_length_a 4.0315
_cell_length_b 4.0315
_cell_length_c 25.4778
_cell_angle_alpha 90.00
_cell_angle_beta 90.00
_cell_angle_gamma 120.00
loop_
_atom_site_label
_atom_site_type_symbol
_atom_site_fract_x
_atom_site_fract_y
_atom_site_fract_z
Bi1 Bi 0.0000 0.0000 0.0000
Te1 Te 0.0000 0.0000 0.5000
S1 S 0.0000 0.0000 0.3969
```